1.
First-principles (PBE) data for Sr2LiTl2 after structural relaxation, as listed in Alexandria.

abc: 9.450 9.450 4.016
angles: 90.00 90.00 90.00
Fractional coordinates of all 10 atoms:
Sr  0.154  0.346  0.000
Sr  0.346  0.846  0.000
Sr  0.654  0.154  0.000
Sr  0.846  0.654  0.000
Li  0.000  0.000  0.000
Li  0.500  0.500  0.000
Tl  0.143  0.643  0.500
Tl  0.357  0.143  0.500
Tl  0.643  0.857  0.500
Tl  0.857  0.357  0.500

Properties
ΔE to the lowest computed polymorph = 170 meV per atom

=====

2.
First-principles (PBE) data for Sr2Li2Tl after structural relaxation, as listed in Alexandria.

abc: 6.537 6.537 8.705
angles: 103.35 103.35 62.98
Fractional coordinates of all 10 atoms:
Sr  0.049  0.268  0.150
Sr  0.268  0.049  0.650
Sr  0.732  0.951  0.350
Sr  0.951  0.732  0.850
Li  0.288  0.505  0.519
Li  0.495  0.712  0.981
Li  0.505  0.288  0.019
Li  0.712  0.495  0.481
Tl  0.304  0.696  0.250
Tl  0.696  0.304  0.750

Properties
ΔE to the lowest computed polymorph = 0 meV per atom

=====

3.
First-principles (PBE) data for Sr3Li2Tl5 after structural relaxation, as listed in Alexandria.

abc: 11.634 11.634 4.314
angles: 90.00 90.00 90.00
Fractional coordinates of all 20 atoms:
Sr  0.000  0.000  0.000
Sr  0.181  0.319  0.000
Sr  0.319  0.819  0.000
Sr  0.500  0.500  0.000
Sr  0.681  0.181  0.000
Sr  0.819  0.681  0.000
Li  0.112  0.612  0.000
Li  0.388  0.112  0.000
Li  0.612  0.888  0.000
Li  0.888  0.388  0.000
Tl  0.000  0.500  0.500
Tl  0.063  0.777  0.500
Tl  0.223  0.063  0.500
Tl  0.277  0.563  0.500
Tl  0.437  0.277  0.500
Tl  0.500  0.000  0.500
Tl  0.563  0.723  0.500
Tl  0.723  0.437  0.500
Tl  0.777  0.937  0.500
Tl  0.937  0.223  0.500

=====

Number 1: magnetization 0.0 μB/cell, formation enthalpy at 0 K -0.1541 eV/atom. Number 2: magnetization 0.0 μB/cell, formation enthalpy at 0 K -0.1969 eV/atom. Number 3: magnetization 0.0 μB/cell, formation enthalpy at 0 K -0.3385 eV/atom.